This record from Alexandria via LeMat-Bulk describes crystalline Li3VO at its relaxed geometry. The functional is GGA+U.

a b c (Å): 4.9605 4.9605 4.9605
angles (deg): 90.00 90.00 90.00
Space group Pm-3m (No. 221)
One atom of each set of equivalent atoms:
Li (0.0000, 0.0000, 0.5000)
V (0.0000, 0.0000, 0.0000)
O (0.5000, 0.5000, 0.5000)

Computed properties:
Excess energy over the best structure of this formula in the dataset   717 kJ/mol of formula units
Total energy   -2.454 eV/atom